# 1
Below is crystalline BaSrSiPd at its relaxed geometry, with properties calculated at the PBE level.

## Properties
- formation energy (no corrections) (kJ/mol of atoms) = -53.90
- energy (eV/atom) = -4.114
- space-group type = Cm, No. 8

Cell lengths 4.3886, 4.3886, 8.8892 Å; angles 90.08, 104.21, 119.99 degrees
Fractional positions:
Ba1 0.3406 0.0355 0.3761
Sr1 0.0138 0.8708 0.8846
Si1 0.8366 0.2829 0.1195
Pd1 0.5012 0.6152 0.1164

# 2
Below is crystalline CaHfCuIr2 at its relaxed geometry, with properties calculated at the PBE level.

## Properties
- energy (eV/atom) = -5.411
- energy relative to the elements (eV/f.u.) = 6.7
- space-group type = P4/mmm, No. 123

Cell lengths 4.8228, 4.3711, 4.8228 Å; angles 90.00, 90.00, 90.00 degrees
Fractional positions:
Ca1 0.0000 0.0000 0.0000
Ir1 0.0000 0.0000 0.5000
Ir2 0.5000 0.0000 0.0000
Hf1 0.5000 0.5000 0.5000
Cu1 0.0000 0.5000 0.0000

# 3
Below is crystalline AcTb5Y2 at its relaxed geometry, with properties calculated at the PBE level.

## Properties
- polymorph energy (0 for the lowest one) (meV per atom) = 0.0
- energy (eV/atom) = -4.987
- energy relative to the elements (eV/f.u.) = 0.3
- space-group type = Pbam, No. 55

Cell lengths 5.0946, 7.2520, 14.4990 Å; angles 90.00, 90.00, 90.00 degrees
Fractional positions:
Ac1 0.0000 0.0000 0.5000
Ac2 0.0000 0.5000 0.0000
Tb1 0.0000 0.0000 0.0000
Tb2 0.0000 0.5000 0.5000
Tb3 0.0000 0.4991 0.7467
Tb4 0.0000 0.5009 0.2533
Tb5 0.0000 0.0009 0.2467
Tb6 0.0000 0.9991 0.7533
Tb7 0.5000 0.2456 0.8720
Tb8 0.5000 0.7544 0.1280
Tb9 0.5000 0.2544 0.3720
Tb10 0.5000 0.7456 0.6280
Y1 0.5000 0.2526 0.6279
Y2 0.5000 0.7474 0.3721
Y3 0.5000 0.2474 0.1279
Y4 0.5000 0.7526 0.8721

# 4
Below is crystalline SrGaSeN2 at its relaxed geometry, with properties calculated at the PBE level.

## Properties
- formation energy (no corrections) (kJ/mol of atoms) = 29.81
- polymorph energy (0 for the lowest one) (meV per atom) = 0.0
- energy (eV/atom) = -4.660
- space-group type = P4/mmm, No. 123

Cell lengths 4.1941, 4.1941, 5.2026 Å; angles 90.00, 90.00, 90.00 degrees
Each line ends with the local moment (μB).
Fractional positions:
Sr1 0.5000 0.5000 0.5000  0.00
Ga1 0.0000 0.0000 0.0000  -0.04
Se1 0.0000 0.0000 0.5000  0.20
N1 0.0000 0.5000 0.0000  0.95
N2 0.5000 0.0000 0.0000  0.95

# 5
Below is crystalline Na2La2Mg at its relaxed geometry, with properties calculated at the PBE level.

## Properties
- polymorph energy (0 for the lowest one) (meV per atom) = 0.0
- energy (eV/atom) = -2.601
- energy relative to the elements (eV/f.u.) = 1.1
- space-group type = I4/mmm, No. 139

Cell lengths 4.1835, 4.1835, 10.4865 Å; angles 78.49, 78.49, 90.00 degrees
Each line ends with the local moment (μB).
Fractional positions:
Na1 0.7500 0.2500 0.5000  0.00
Na2 0.2500 0.7500 0.5000  0.00
Mg1 0.0000 0.0000 0.0000  0.00
La1 0.4141 0.4141 0.1718  0.10
La2 0.5859 0.5859 0.8282  0.10

# 6
Below is crystalline SrCu2Sn8 at its relaxed geometry, with properties calculated at the PBE level.

## Properties
- energy (eV/atom) = -3.823
- energy relative to the elements (eV/f.u.) = -0.2
- space-group type = P4/mmm, No. 123

Cell lengths 6.3188, 6.3188, 8.5496 Å; angles 90.00, 90.00, 90.00 degrees
Fractional positions:
Sr1 0.5000 0.5000 0.5000
Cu1 0.5000 0.0000 0.0000
Cu2 0.0000 0.5000 0.0000
Sn1 0.7548 0.7548 0.1928
Sn2 0.7548 0.2452 0.8072
Sn3 0.7548 0.7548 0.8072
Sn4 0.7548 0.2452 0.1928
Sn5 0.2452 0.7548 0.1928
Sn6 0.2452 0.7548 0.8072
Sn7 0.2452 0.2452 0.1928
Sn8 0.2452 0.2452 0.8072